## A
First-principles (PBE) data for an optimized crystal structure of BiPdI2O, as listed in the Alexandria database.

The value obtained for the density of states at the Fermi level is 6.249 states/eV/cell.

It has space group P4/mmm (No. 123), with a = 5.744 Å, b = 5.744 Å, c = 3.900 Å, α = 90.00°, β = 90.00° and γ = 90.00°. The distinct sites, in fractional coordinates, are Bi at (0.000, 0.000, 0.000), Pd at (0.500, 0.500, 0.500), I at (0.000, 0.500, 0.500) and O at (0.500, 0.500, 0.000).

=====

## B
First-principles (PBE) data for an optimized crystal structure of BiPdI2O, as listed in the Alexandria database.

The value obtained for the density of states at the Fermi level is 6.565 states/eV/cell.

It has space group P4/mmm (No. 123), with a = 6.184 Å, b = 6.184 Å, c = 4.256 Å, α = 90.00°, β = 90.00° and γ = 90.00°. The distinct sites, in fractional coordinates, are Bi at (0.000, 0.000, 0.000), Pd at (0.500, 0.500, 0.500), I at (0.000, 0.500, 0.000) and O at (0.000, 0.000, 0.500).

=====

Which of them is most stable, and which least? Most stable: A; least stable: B.